# PBE-GGA Nd12Tl2Cd5, optimized geometry
data_Nd12Tl2Cd5
_space_group_name_H-M_alt 'C 1 2/m 1'
_space_group_IT_number 12
_cell_length_a 13.0919
_cell_length_b 10.7755
_cell_length_c 8.5430
_cell_angle_alpha 90.00
_cell_angle_beta 104.28
_cell_angle_gamma 90.00
loop_
_space_group_symop_operation_xyz
'x,y,z'
'-x,-y,-z'
'-x,y,-z'
'x,-y,z'
'x+1/2,y+1/2,z'
'-x+1/2,-y+1/2,-z'
'-x+1/2,y+1/2,-z'
'x+1/2,-y+1/2,z'
loop_
_atom_site_label
_atom_site_type_symbol
_atom_site_fract_x
_atom_site_fract_y
_atom_site_fract_z
Nd1 Nd 0.0930 0.0000 0.2198
Nd2 Nd 0.1068 0.2309 0.8964
Nd3 Nd 0.1286 0.5000 0.6468
Nd4 Nd 0.1763 0.3115 0.3131
Tl1 Tl 0.0000 0.2308 0.5000
Cd1 Cd 0.0000 0.5000 0.0000
Cd2 Cd 0.1281 0.0000 0.6183
Cd3 Cd 0.2323 0.5000 0.0278
# calculated total energy: -3.66 eV/atom

# PBE-GGA Li3BePd, optimized geometry
data_Li3BePd
_space_group_name_H-M_alt 'P m -3 m'
_space_group_IT_number 221
_space_group_name_Hall '-P 4 2 3'
_cell_length_a 4.6397
_cell_length_b 4.6397
_cell_length_c 4.6397
_cell_angle_alpha 90.00
_cell_angle_beta 90.00
_cell_angle_gamma 90.00
loop_
_atom_site_label
_atom_site_type_symbol
_atom_site_fract_x
_atom_site_fract_y
_atom_site_fract_z
Li1 Li 0.0000 0.0000 0.5000
Be1 Be 0.5000 0.5000 0.5000
Pd1 Pd 0.0000 0.0000 0.0000
# ΔE to the lowest computed polymorph: 0.000 eV/atom
# calculated total energy: -2.47 eV/atom

Result set for magnetic moment: 0.0000, 0.0000 μB per atom, one per record in the order listed.
Result set for formation energy from the elements: -0.1615, 0.4571 eV/atom, one per record in the order listed.